Below is an optimized crystal structure of Rb2MgH2Cl2, with properties calculated at the PBE-GGA level.

Output
E_tot: -3.08 eV/atom
Space-group type: No. 139
Total magnetic moment: 0.00 μB per formula unit

Cell: 4.477 4.477 8.699 Å, 104.91 104.91 90.00°
Element x y z (fractional)
1 Cl 0.845 0.845 0.690
2 Cl 0.155 0.155 0.310
3 Rb 0.631 0.631 0.262
4 Rb 0.369 0.369 0.738
5 H 0.000 0.500 0.000
6 H 0.500 0.000 0.000
7 Mg 0.000 0.000 0.000


Below is an optimized crystal structure of GdAg4Sn, with properties calculated at the PBE-GGA level.

Output
E_tot: -5.11 eV/atom
Space-group type: No. 216
Total magnetic moment: 7.13 μB per formula unit
ΔH_f (0 K): -1.2 eV per formula unit

Cell: 5.648 5.648 5.648 Å, 60.00 60.00 60.00°
Site moments in Bohr magnetons follow the coordinates.
Element x y z (fractional)
1 Ag 0.625 0.126 0.625  0.00
2 Ag 0.126 0.625 0.625  0.00
3 Ag 0.625 0.625 0.126  0.00
4 Ag 0.625 0.625 0.625  0.00
5 Sn 0.000 0.000 0.000  -0.02
6 Gd 0.250 0.250 0.250  6.97


Below is an optimized crystal structure of SmHo4Sn2, with properties calculated at the PBE-GGA level.

Output
E_tot: -4.02 eV/atom
Space-group type: No. 139
Total magnetic moment: 0.00 μB per formula unit
ΔH_f (0 K): 2.9 eV per formula unit

Cell: 5.320 5.320 8.956 Å, 107.28 107.28 90.00°
Element x y z (fractional)
1 Ho 0.500 0.000 0.000
2 Ho 0.815 0.815 0.631
3 Ho 0.185 0.185 0.369
4 Ho 0.000 0.500 0.000
5 Sm 0.000 0.000 0.000
6 Sn 0.371 0.371 0.742
7 Sn 0.629 0.629 0.258


Below is an optimized crystal structure of AlV3In, with properties calculated at the PBE-GGA level.

Output
E_tot: -5.77 eV/atom
Space-group type: No. 221
Total magnetic moment: 3.69 μB per formula unit
ΔH_f (0 K): 5.0 eV per formula unit
E above lowest polymorph: 0.0 meV per atom

Cell: 4.555 4.555 4.555 Å, 90.00 90.00 90.00°
Site moments in Bohr magnetons follow the coordinates.
Element x y z (fractional)
1 V 0.000 0.000 0.500  1.11
2 V 0.000 0.500 0.000  1.11
3 V 0.500 0.000 0.000  1.11
4 Al 0.000 0.000 0.000  -0.02
5 In 0.500 0.500 0.500  -0.07


Below is an optimized crystal structure of Ca3ScHg, with properties calculated at the PBE-GGA level.

Output
E_tot: -1.86 eV/atom
Space-group type: No. 221
Total magnetic moment: 3.36 μB per formula unit
ΔH_f (0 K): 3.3 eV per formula unit
E above lowest polymorph: 461.5 meV per atom

Cell: 6.034 6.034 6.034 Å, 90.00 90.00 90.00°
Site moments in Bohr magnetons follow the coordinates.
Element x y z (fractional)
1 Hg 0.500 0.500 0.500  0.01
2 Ca 0.000 0.500 0.000  0.17
3 Ca 0.000 0.000 0.500  0.21
4 Ca 0.500 0.000 0.000  0.12
5 Sc 0.000 0.000 0.000  1.13


Below is an optimized crystal structure of K2LiMo, with properties calculated at the PBE-GGA level.

Output
E_tot: -2.53 eV/atom
Space-group type: No. 12
Total magnetic moment: 4.53 μB per formula unit
ΔH_f (0 K): 4.8 eV per formula unit
E above lowest polymorph: 190.9 meV per atom

Cell: 6.705 6.705 3.641 Å, 89.92 89.92 114.86°
Site moments in Bohr magnetons follow the coordinates.
Element x y z (fractional)
1 Li 0.500 0.000 0.500  -0.02
2 K 0.000 0.000 0.000  0.00
3 K 0.500 0.500 0.000  0.00
4 Mo 0.000 0.500 0.500  3.60


Below is an optimized crystal structure of NbMo2Os2, with properties calculated at the PBE-GGA level.

Output
E_tot: -10.72 eV/atom
Space-group type: No. 127
Total magnetic moment: 0.00 μB per formula unit
ΔH_f (0 K): 0.6 eV per formula unit
E above lowest polymorph: 0.0 meV per atom

Cell: 7.515 7.515 2.883 Å, 90.00 90.00 90.00°
Element x y z (fractional)
1 Nb 0.500 0.500 0.000
2 Nb 0.000 0.000 0.000
3 Os 0.369 0.869 0.000
4 Os 0.631 0.131 0.000
5 Os 0.131 0.369 0.000
6 Os 0.869 0.631 0.000
7 Mo 0.333 0.167 0.500
8 Mo 0.667 0.833 0.500
9 Mo 0.167 0.667 0.500
10 Mo 0.833 0.333 0.500


Below is an optimized crystal structure of Pu2PaTl3Se6, with properties calculated at the PBE-GGA level.

Output
Formation energy without anion corrections: -1.104 eV per atom
E_tot: -6.62 eV/atom
Space-group type: No. 12
Total magnetic moment: 12.00 μB per formula unit

Cell: 7.335 7.335 8.141 Å, 98.62 98.62 119.97°
Site moments in Bohr magnetons follow the coordinates.
Element x y z (fractional)
1 Pu 0.666 0.334 0.000  5.36
2 Pu 0.334 0.666 0.000  5.36
3 Se 0.391 0.068 0.203  -0.06
4 Se 0.932 0.609 0.797  -0.06
5 Se 0.609 0.932 0.797  -0.06
6 Se 0.068 0.391 0.203  -0.06
7 Se 0.255 0.255 0.794  -0.06
8 Se 0.745 0.745 0.206  -0.06
9 Tl 0.169 0.831 0.500  0.01
10 Tl 0.831 0.169 0.500  0.01
11 Tl 0.500 0.500 0.500  0.01
12 Pa 0.000 0.000 0.000  0.95


- total magnetic moment of number 1 (Rb2MgH2Cl2)?
  0.00 μB per formula unit


- Look up the E_tot of the eighth one.
  -6.62 eV/atom


What did the fifth record say?
Below is an optimized crystal structure of Ca3ScHg, with properties calculated at the PBE-GGA level.

Output
E_tot: -1.86 eV/atom
Space-group type: No. 221
Total magnetic moment: 3.36 μB per formula unit
ΔH_f (0 K): 3.3 eV per formula unit
E above lowest polymorph: 461.5 meV per atom

Cell: 6.034 6.034 6.034 Å, 90.00 90.00 90.00°
Site moments in Bohr magnetons follow the coordinates.
Element x y z (fractional)
1 Hg 0.500 0.500 0.500  0.01
2 Ca 0.000 0.500 0.000  0.17
3 Ca 0.000 0.000 0.500  0.21
4 Ca 0.500 0.000 0.000  0.12
5 Sc 0.000 0.000 0.000  1.13